Entry 1:
Density functional theory data (PBE) for a geometry-optimized KLa3I structure.

Calculated values
SG ... No. 221
Polymorph energy (0 for the lowest one) ... 0.000 eV/atom
VASP energy ... -17.153 eV for the cell shown
Formation energy (no corrections) ... 55 meV/atom

Unit cell a=6.1319 b=6.1319 c=6.1319 alpha=90.00 beta=90.00 gamma=90.00
With the nearest neighbours (Å) after each atom.
Fractional coordinates of all 5 atoms:
La (0.0000, 0.5000, 0.0000)  2 I 3.07
La (0.5000, 0.0000, 0.0000)  2 I 3.07
La (0.0000, 0.0000, 0.5000)  2 I 3.07
K (0.5000, 0.5000, 0.5000)  12 La 4.34
I (0.0000, 0.0000, 0.0000)  6 La 3.07



Entry 2:
Density functional theory data (PBE) for a geometry-optimized Hg5Bi structure.

Calculated values
SG ... No. 65
VASP energy ... -4.953 eV for the cell shown
Formation energy from the elements ... 72.8 meV/atom

Unit cell a=3.5053 b=5.6195 c=8.7433 alpha=108.75 beta=90.00 gamma=90.00
With the nearest neighbours (Å) after each atom.
Fractional coordinates of all 6 atoms:
Hg (0.5000, 0.8285, 0.6570)  8 Hg 3.21-3.51, 2 Bi 3.34
Hg (0.0000, 0.3339, 0.6678)  10 Hg 3.21-3.51
Hg (0.0000, 0.6661, 0.3322)  10 Hg 3.21-3.51
Hg (0.5000, 0.5000, 0.0000)  6 Hg 3.26-3.51, 4 Bi 3.31
Hg (0.5000, 0.1715, 0.3430)  8 Hg 3.21-3.51, 2 Bi 3.34
Bi (0.0000, 0.0000, 0.0000)  8 Hg 3.31-3.34, 2 Bi 3.51



Entry 3:
Density functional theory data (PBE) for a geometry-optimized BeNbRe structure.

Calculated values
SG ... No. 156
Polymorph energy (0 for the lowest one) ... 0.310 eV/atom
VASP energy ... -26.173 eV for the cell shown
Formation energy from the elements ... 23.7 meV/atom

Unit cell a=4.3526 b=4.3526 c=2.6833 alpha=90.00 beta=90.00 gamma=120.00
With the nearest neighbours (Å) after each atom.
Fractional coordinates of all 3 atoms:
Nb (0.0000, 0.0000, 0.0298)  3 Re 2.66, 2 Nb 2.68, 6 Be 2.74-2.97
Be (0.3333, 0.6667, 0.6220)  3 Re 2.61, 2 Be 2.68, 3 Nb 2.74
Re (0.6667, 0.3333, 0.3603)  3 Be 2.61, 3 Nb 2.66, 2 Re 2.68



Entry 4:
Density functional theory data (PBE) for a geometry-optimized Tb2Al3SnAu4 structure.

Calculated values
SG ... No. 115
VASP energy ... -44.023 eV for the cell shown
Formation energy from the elements ... -642.3 meV/atom

Unit cell a=4.3321 b=4.3321 c=11.0843 alpha=90.00 beta=90.00 gamma=90.00
With the nearest neighbours (Å) after each atom.
Fractional coordinates of all 10 atoms:
Au (0.0000, 0.0000, 0.0000)  4 Al 2.58
Au (0.5000, 0.5000, 0.0000)  4 Al 2.58
Au (0.5000, 0.0000, 0.6515)  3 Al 2.46-2.74, 2 Sn 2.74
Au (0.0000, 0.5000, 0.3485)  3 Al 2.46-2.74, 2 Sn 2.74
Al (0.0000, 0.5000, 0.1267)  5 Au 2.46-2.58
Al (0.5000, 0.0000, 0.8733)  5 Au 2.46-2.58
Al (0.0000, 0.0000, 0.5000)  4 Au 2.74, 4 Sn 3.06
Tb (0.0000, 0.5000, 0.7648)  6 Al 3.29-3.65, 8 Au 3.31-3.39, 2 Sn 3.65
Tb (0.5000, 0.0000, 0.2352)  6 Al 3.29-3.65, 8 Au 3.31-3.39, 2 Sn 3.65
Sn (0.5000, 0.5000, 0.5000)  4 Au 2.74, 4 Al 3.06



Entry 5:
Density functional theory data (PBE) for a geometry-optimized Th3SnRu structure.

Calculated values
SG ... No. 62
Polymorph energy (0 for the lowest one) ... 0.000 eV/atom
VASP energy ... -151.708 eV for the cell shown
Formation energy from the elements ... -477.8 meV/atom

Unit cell a=4.5785 b=8.4606 c=14.8871 alpha=90.00 beta=90.00 gamma=90.00
With the nearest neighbours (Å) after each atom.
Fractional coordinates of all 20 atoms:
Ru (0.2500, 0.3215, 0.9388)  2 Th 2.62-2.74
Ru (0.7500, 0.6785, 0.0612)  2 Th 2.62-2.74
Ru (0.2500, 0.8215, 0.5612)  2 Th 2.62-2.74
Ru (0.7500, 0.1785, 0.4388)  2 Th 2.62-2.74
Th (0.7500, 0.5327, 0.8965)  3 Ru 2.74-2.97
Th (0.2500, 0.8586, 0.9934)  2 Ru 2.93
Th (0.2500, 0.6873, 0.7194)  1 Ru 2.62
Th (0.7500, 0.3127, 0.2806)  1 Ru 2.62
Th (0.2500, 0.3586, 0.5066)  2 Ru 2.93
Th (0.2500, 0.4673, 0.1035)  3 Ru 2.74-2.97
Th (0.7500, 0.1414, 0.0066)  2 Ru 2.93
Th (0.7500, 0.0327, 0.6035)  3 Ru 2.74-2.97
Th (0.7500, 0.8127, 0.2194)  1 Ru 2.62
Th (0.2500, 0.9673, 0.3965)  3 Ru 2.74-2.97
Th (0.7500, 0.6414, 0.4934)  2 Ru 2.93
Th (0.2500, 0.1873, 0.7806)  1 Ru 2.62
Sn (0.2500, 0.0882, 0.1784)  9 Th 3.32-3.46
Sn (0.7500, 0.9118, 0.8216)  9 Th 3.32-3.46
Sn (0.2500, 0.5882, 0.3216)  9 Th 3.32-3.46
Sn (0.7500, 0.4118, 0.6784)  9 Th 3.32-3.46



Entry 6:
Density functional theory data (PBE) for a geometry-optimized TiGaRh structure.

Calculated values
SG ... No. 187
VASP energy ... -20.242 eV for the cell shown
Formation energy from the elements ... -656.3 meV/atom

Unit cell a=2.8312 b=4.3095 c=4.3095 alpha=120.00 beta=90.00 gamma=90.00
With the nearest neighbours (Å) after each atom.
Fractional coordinates of all 3 atoms:
Ga (0.5003, 0.6667, 0.3333)  3 Rh 2.49
Ti (0.0001, 0.0000, 0.0000)  2 Ti 2.83, 6 Rh 2.86, 6 Ga 2.86
Rh (0.4996, 0.3333, 0.6667)  3 Ga 2.49



Entry 7:
Density functional theory data (PBE) for a geometry-optimized ScC3 structure.

Calculated values
SG ... No. 187
Polymorph energy (0 for the lowest one) ... 1.098 eV/atom
VASP energy ... -28.616 eV for the cell shown
Formation energy from the elements ... 1346.7 meV/atom

Unit cell a=3.2270 b=3.2270 c=4.5586 alpha=90.00 beta=90.00 gamma=120.00
With the nearest neighbours (Å) after each atom.
Fractional coordinates of all 4 atoms:
C (0.0000, 0.0000, 0.0938)  1 C 1.42
C (0.0000, 0.0000, 0.4062)  1 C 1.42
C (0.6667, 0.3333, 0.2500)  6 C 1.99
Sc (0.6667, 0.3333, 0.7500)  8 C 2.28-2.43



Entry 8:
Density functional theory data (PBE) for a geometry-optimized SiAg2Pb structure.

Calculated values
SG ... No. 123
Polymorph energy (0 for the lowest one) ... 0.078 eV/atom
VASP energy ... -13.454 eV for the cell shown
Formation energy (no corrections) ... 345 meV/atom

Unit cell a=4.4460 b=4.4460 c=4.2045 alpha=90.00 beta=90.00 gamma=90.00
With the nearest neighbours (Å) after each atom.
Fractional coordinates of all 4 atoms:
Pb (0.5000, 0.0000, 0.5000)  8 Ag 3.06, 4 Si 3.14
Ag (0.5000, 0.5000, 0.0000)  4 Pb 3.06, 4 Si 3.06, 4 Ag 3.14
Ag (0.0000, 0.0000, 0.0000)  4 Pb 3.06, 4 Si 3.06, 4 Ag 3.14
Si (0.0000, 0.5000, 0.5000)  8 Ag 3.06, 4 Pb 3.14



Entry 9:
Density functional theory data (PBE) for a geometry-optimized Sr2LiSn6Pd structure.

Calculated values
SG ... No. 166
VASP energy ... -76.771 eV for the cell shown
Formation energy from the elements ... -389.8 meV/atom

Unit cell a=7.0270 b=7.0270 c=13.5813 alpha=75.01 beta=75.01 gamma=60.00
With the nearest neighbours (Å) after each atom.
Fractional coordinates of all 20 atoms:
Sn (0.9238, 0.3427, 0.3908)  1 Li 2.72, 1 Pd 2.75, 2 Sn 2.94
Sn (0.3427, 0.3427, 0.3908)  1 Li 2.72, 1 Pd 2.75, 2 Sn 2.94
Sn (0.3427, 0.9238, 0.3908)  1 Li 2.72, 1 Pd 2.75, 2 Sn 2.94
Sn (0.6669, 0.2262, 0.8807)  1 Pd 2.75, 1 Li 2.81
Sn (0.3331, 0.7738, 0.1193)  1 Pd 2.75, 1 Li 2.81
Sn (0.2262, 0.2262, 0.8807)  1 Pd 2.75, 1 Li 2.81
Sn (0.2262, 0.6669, 0.8807)  1 Pd 2.75, 1 Li 2.81
Sn (0.7738, 0.7738, 0.1193)  1 Pd 2.75, 1 Li 2.81
Sn (0.6573, 0.6573, 0.6092)  1 Li 2.72, 1 Pd 2.75, 2 Sn 2.94
Sn (0.6573, 0.0762, 0.6092)  1 Li 2.72, 1 Pd 2.75, 2 Sn 2.94
Sn (0.0762, 0.6573, 0.6092)  1 Li 2.72, 1 Pd 2.75, 2 Sn 2.94
Sn (0.7738, 0.3331, 0.1193)  1 Pd 2.75, 1 Li 2.81
Pd (0.0000, 0.0000, 0.0000)  6 Sn 2.75
Pd (0.5000, 0.5000, 0.5000)  6 Sn 2.75, 2 Li 2.76
Sr (0.7110, 0.7110, 0.8671)  12 Sn 3.53-3.75
Sr (0.2890, 0.2890, 0.1329)  12 Sn 3.53-3.75
Sr (0.8875, 0.8875, 0.3376)  12 Sn 3.60-3.91
Sr (0.1125, 0.1125, 0.6624)  12 Sn 3.60-3.91
Li (0.5711, 0.5711, 0.2868)  6 Sn 2.72-2.81, 1 Pd 2.76
Li (0.4289, 0.4289, 0.7132)  6 Sn 2.72-2.81, 1 Pd 2.76



Entry 10:
Density functional theory data (PBE) for a geometry-optimized Pr4Sn2Ge structure.

Calculated values
SG ... No. 166
VASP energy ... -35.618 eV for the cell shown
Formation energy from the elements ... -553.8 meV/atom

Unit cell a=4.9599 b=4.9599 c=11.2795 alpha=77.30 beta=77.30 gamma=60.00
With the nearest neighbours (Å) after each atom.
Fractional coordinates of all 7 atoms:
Pr (0.7019, 0.7019, 0.8944)  3 Sn 3.13
Pr (0.1253, 0.1253, 0.6241)  3 Ge 3.17, 3 Sn 3.32
Pr (0.2981, 0.2981, 0.1056)  3 Sn 3.13
Pr (0.8747, 0.8747, 0.3759)  3 Ge 3.17, 3 Sn 3.32
Ge (0.5000, 0.5000, 0.5000)  2 Sn 3.03, 6 Pr 3.17
Sn (0.5927, 0.5927, 0.2219)  1 Ge 3.03, 6 Pr 3.13-3.32
Sn (0.4073, 0.4073, 0.7781)  1 Ge 3.03, 6 Pr 3.13-3.32



Entry 11:
Density functional theory data (PBE) for a geometry-optimized SrYPt2 structure.

Calculated values
SG ... No. 225
Polymorph energy (0 for the lowest one) ... 0.100 eV/atom
VASP energy ... -23.920 eV for the cell shown
Formation energy from the elements ... -923.0 meV/atom

Unit cell a=5.0555 b=5.0555 c=5.0555 alpha=60.00 beta=60.00 gamma=60.00
With the nearest neighbours (Å) after each atom.
Fractional coordinates of all 4 atoms:
Pt (0.2500, 0.2500, 0.2500)  4 Y 3.10, 4 Sr 3.10
Pt (0.7500, 0.7500, 0.7500)  4 Y 3.10, 4 Sr 3.10
Y (0.5000, 0.5000, 0.5000)  8 Pt 3.10
Sr (0.0000, 0.0000, 0.0000)  8 Pt 3.10



Entry 12:
Density functional theory data (PBE) for a geometry-optimized CdTcP2 structure.

Calculated values
SG ... No. 99
VASP energy ... -21.956 eV for the cell shown
Formation energy from the elements ... 36.2 meV/atom

Unit cell a=3.1831 b=3.1850 c=7.3013 alpha=90.00 beta=90.00 gamma=90.00
With the nearest neighbours (Å) after each atom.
Fractional coordinates of all 4 atoms:
P (0.5000, 0.5000, 0.4236)  4 Tc 2.41, 1 Cd 2.56
P (0.0000, 0.0000, 0.9968)  1 Tc 2.25
Cd (0.5000, 0.5000, 0.7746)  5 P 2.56-2.77
Tc (0.0000, 0.0000, 0.3051)  5 P 2.25-2.41